Entry 1:
A plane-wave DFT calculation with PBE was carried out for a relaxed structure of La12Tl4GeN3.

Results
Its density of states at the Fermi level is 12.099 states/eV/f.u. As for the crystal system: cubic. For the calculated density, the calculation gives 7.29 g cm⁻³.

Cell lengths 10.5790, 10.5790, 10.5790 Å; angles 90.00, 90.00, 90.00 degrees
Space group Im-3m (No. 229)
Asymmetric unit:
La 0.0000 0.0000 0.2702 x12
La 0.0000 0.2500 0.5000 x12
Tl 0.2500 0.2500 0.2500 x8
Ge 0.0000 0.0000 0.0000 x2
N 0.0000 0.0000 0.5000 x6

=====

Entry 2:
A plane-wave DFT calculation with PBE was carried out for a relaxed structure of La2VGeN.

Results
Its density of states at the Fermi level is 3.515 states/eV/f.u. As for the crystal system: tetragonal. For the calculated density, the calculation gives 6.44 g cm⁻³.

Cell lengths 5.2085, 5.2085, 3.9464 Å; angles 90.00, 90.00, 90.00 degrees
Space group P4/mmm (No. 123)
Asymmetric unit:
La 0.0000 0.5000 0.0000 x2
V 0.0000 0.0000 0.5000 x1
Ge 0.5000 0.5000 0.5000 x1
N 0.0000 0.0000 0.0000 x1

=====

Entry 3:
A plane-wave DFT calculation with PBE was carried out for a relaxed structure of LaY2GeN4.

Results
Its density of states at the Fermi level is 0.854 states/eV/f.u. As for the crystal system: orthorhombic. For the calculated density, the calculation gives 6.14 g cm⁻³.

Cell lengths 3.5614, 11.5765, 11.6788 Å; angles 90.00, 90.00, 90.00 degrees
Space group Cmcm (No. 63)
Asymmetric unit:
La 0.0000 0.0971 0.2500 x4
Y 0.0000 0.3693 0.0434 x8
Ge 0.0000 0.1648 0.7500 x4
N 0.0000 0.0000 0.0000 x4
N 0.0000 0.2681 0.6255 x8
N 0.0000 0.4179 0.2500 x4

=====

Entry 4:
A plane-wave DFT calculation with PBE was carried out for a relaxed structure of NaLaGe.

Results
Its density of states at the Fermi level is 2.120 states/eV/f.u. As for the crystal system: orthorhombic. For the calculated density, the calculation gives 4.31 g cm⁻³.

Cell lengths 4.5342, 19.6778, 4.0551 Å; angles 90.00, 90.00, 90.00 degrees
Space group Cmcm (No. 63)
Asymmetric unit:
Na 0.0000 0.2071 0.2500 x4
La 0.0000 0.4191 0.2500 x4
Ge 0.0000 0.0434 0.2500 x4

=====

Entry 5:
A plane-wave DFT calculation with PBE was carried out for a relaxed structure of NaLaGe.

Results
Its density of states at the Fermi level is 1.318 states/eV/f.u. As for the crystal system: tetragonal. For the calculated density, the calculation gives 4.60 g cm⁻³.

Cell lengths 4.4188, 4.4188, 17.3365 Å; angles 90.00, 90.00, 90.00 degrees
Space group I4/mmm (No. 139)
Asymmetric unit:
Na 0.0000 0.5000 0.0000 x4
La 0.0000 0.0000 0.1778 x4
Ge 0.0000 0.0000 0.3589 x4

=====

Entry 6:
A plane-wave DFT calculation with PBE was carried out for a relaxed structure of NaLaGe.

Results
Its density of states at the Fermi level is 2.350 states/eV/f.u. As for the crystal system: triclinic. For the calculated density, the calculation gives 4.20 g cm⁻³.

Cell lengths 5.9811, 5.9978, 6.0163 Å; angles 104.04, 110.75, 101.78 degrees
Space group P-1 (No. 2)
Asymmetric unit:
Na 0.1477 0.4914 0.3039 x2
La 0.3150 0.1209 0.7571 x2
Ge 0.1943 0.9852 0.1770 x2

=====

Entry 7:
A plane-wave DFT calculation with PBE was carried out for a relaxed structure of NaLaGe.

Results
Its density of states at the Fermi level is 0.054 states/eV/f.u. As for the crystal system: cubic. For the calculated density, the calculation gives 4.25 g cm⁻³.

Cell lengths 7.1559, 7.1559, 7.1559 Å; angles 90.00, 90.00, 90.00 degrees
Space group F-43m (No. 216)
Asymmetric unit:
Na 0.0000 0.0000 0.0000 x4
La 0.0000 0.0000 0.5000 x4
Ge 0.2500 0.2500 0.2500 x4

=====

Entry 8:
A plane-wave DFT calculation with PBE was carried out for a relaxed structure of NaLaGe4.

Results
Its density of states at the Fermi level is 2.474 states/eV/f.u. As for the crystal system: orthorhombic. For the calculated density, the calculation gives 5.14 g cm⁻³.

Cell lengths 4.0995, 4.3396, 8.2141 Å; angles 90.00, 90.00, 90.00 degrees
Space group Pmmm (No. 47)
Asymmetric unit:
Na 0.0000 0.0000 0.0000 x1
La 0.5000 0.0000 0.5000 x1
Ge 0.0000 0.5000 0.3413 x2
Ge 0.5000 0.5000 0.1633 x2

=====

Entry 9:
A plane-wave DFT calculation with PBE was carried out for a relaxed structure of NaLaGe.

Results
Its density of states at the Fermi level is 0.805 states/eV/f.u. As for the crystal system: trigonal. For the calculated density, the calculation gives 4.05 g cm⁻³.

Cell lengths 5.1121, 5.1121, 25.4662 Å; angles 90.00, 90.00, 120.00 degrees
Space group R-3m (No. 166, hexagonal axes)
Asymmetric unit:
Na 0.0000 0.0000 0.1341 x6
La 0.0000 0.0000 0.3824 x6
Ge 0.0000 0.0000 0.2550 x6

=====

Entry 10:
A plane-wave DFT calculation with PBE was carried out for a relaxed structure of NaLa3Ge.

Results
Its density of states at the Fermi level is 15.480 states/eV/f.u. As for the crystal system: cubic. For the calculated density, the calculation gives 4.12 g cm⁻³.

Cell lengths 5.9084, 5.9084, 5.9084 Å; angles 90.00, 90.00, 90.00 degrees
Space group Pm-3m (No. 221)
Asymmetric unit:
Na 0.0000 0.0000 0.0000 x1
La 0.0000 0.5000 0.5000 x3
Ge 0.5000 0.5000 0.5000 x1

=====

Entry 11:
A plane-wave DFT calculation with PBE was carried out for a relaxed structure of NaLaGe4.

Results
As for the crystal system: cubic. For the calculated density, the calculation gives 5.71 g cm⁻³.

Cell lengths 8.0740, 8.0740, 8.0740 Å; angles 90.00, 90.00, 90.00 degrees
Space group F-43m (No. 216)
Asymmetric unit:
Na 0.0000 0.0000 0.0000 x4
La 0.2500 0.2500 0.2500 x4
Ge 0.1247 0.1247 0.6247 x16

=====

Entry 12:
A plane-wave DFT calculation with PBE was carried out for a relaxed structure of NaLaGe.

Results
Its density of states at the Fermi level is 0.175 states/eV/f.u. As for the crystal system: trigonal. For the calculated density, the calculation gives 4.85 g cm⁻³.

Cell lengths 5.0879, 5.0879, 7.1651 Å; angles 90.00, 90.00, 120.00 degrees
Space group P3m1 (No. 156)
Asymmetric unit:
Na 0.0000 0.0000 0.0000 x1
Na 0.3333 0.6667 0.8394 x1
La 0.3333 0.6667 0.2958 x1
La 0.6667 0.3333 0.6428 x1
Ge 0.0000 0.0000 0.5396 x1
Ge 0.6667 0.3333 0.1001 x1

=====

Entry 13:
A plane-wave DFT calculation with PBE was carried out for a relaxed structure of NaLaGe.

Results
Its density of states at the Fermi level is 1.082 states/eV/f.u. As for the crystal system: tetragonal. For the calculated density, the calculation gives 4.69 g cm⁻³.

Cell lengths 4.4788, 4.4788, 8.2719 Å; angles 90.00, 90.00, 90.00 degrees
Space group P4/nmm (No. 129, origin choice 2)
Asymmetric unit:
Na 0.2500 0.7500 0.0000 x2
La 0.2500 0.2500 0.3542 x2
Ge 0.2500 0.2500 0.7245 x2

=====

Entry 14:
A plane-wave DFT calculation with PBE was carried out for a relaxed structure of NaLaGe.

Results
Its density of states at the Fermi level is 2.390 states/eV/f.u. As for the crystal system: monoclinic. For the calculated density, the calculation gives 4.43 g cm⁻³.

Cell lengths 11.0210, 4.6053, 8.0397 Å; angles 90.00, 120.45, 90.00 degrees
Space group C2/m (No. 12)
Asymmetric unit:
Na 0.1865 0.0000 0.0814 x4
La 0.0756 0.5000 0.3410 x4
Ge 0.1320 0.0000 0.6299 x4

=====

Entry 15:
A plane-wave DFT calculation with PBE was carried out for a relaxed structure of NaLaGe3.

Results
Its density of states at the Fermi level is 3.880 states/eV/f.u. As for the crystal system: cubic. For the calculated density, the calculation gives 5.06 g cm⁻³.

Cell lengths 4.9943, 4.9943, 4.9943 Å; angles 90.00, 90.00, 90.00 degrees
Space group Pm-3m (No. 221)
Asymmetric unit:
Na 0.0000 0.0000 0.0000 x1
La 0.5000 0.5000 0.5000 x1
Ge 0.0000 0.0000 0.5000 x3

=====

Entry 16:
A plane-wave DFT calculation with PBE was carried out for a relaxed structure of NaLaGe3.

Results
Its density of states at the Fermi level is 5.159 states/eV/f.u. As for the crystal system: cubic. For the calculated density, the calculation gives 3.37 g cm⁻³.

Cell lengths 5.7197, 5.7197, 5.7197 Å; angles 90.00, 90.00, 90.00 degrees
Space group Pm-3m (No. 221)
Asymmetric unit:
Na 0.0000 0.0000 0.0000 x1
La 0.5000 0.5000 0.5000 x1
Ge 0.0000 0.5000 0.5000 x3

=====

Entry 17:
A plane-wave DFT calculation with PBE was carried out for a relaxed structure of NaLaGe.

Results
Its density of states at the Fermi level is 0.696 states/eV/f.u. As for the crystal system: hexagonal. For the calculated density, the calculation gives 4.86 g cm⁻³.

Cell lengths 5.3507, 5.3507, 6.4589 Å; angles 90.00, 90.00, 120.00 degrees
Space group P6_3/mmc (No. 194)
Asymmetric unit:
Na 0.0000 0.0000 0.0000 x2
La 0.3333 0.6667 0.2500 x2
Ge 0.3333 0.6667 0.7500 x2

=====

Entry 18:
A plane-wave DFT calculation with PBE was carried out for a relaxed structure of NaLaGe2O6.

Results
Its density of states at the Fermi level is 0.000 states/eV/f.u. As for the crystal system: monoclinic. For the calculated density, the calculation gives 4.35 g cm⁻³.

Cell lengths 10.7948, 10.5710, 5.5513 Å; angles 90.00, 103.71, 90.00 degrees
Space group C2/c (No. 15)
Asymmetric unit:
Na 0.0000 0.1443 0.2500 x4
La 0.0000 0.3763 0.7500 x4
Ge 0.2089 0.0828 0.7529 x8
O 0.1244 0.4277 0.1575 x8
O 0.1327 0.2237 0.6468 x8
O 0.1446 0.0336 0.0135 x8

=====

Entry 19:
A plane-wave DFT calculation with PBE was carried out for a relaxed structure of NaLa2GeO6.

Results
Its density of states at the Fermi level is 5.781 states/eV/f.u. As for the crystal system: monoclinic. For the calculated density, the calculation gives 5.82 g cm⁻³.

Cell lengths 5.6200, 5.9502, 9.7033 Å; angles 90.00, 124.38, 90.00 degrees
Space group P2_1/c (No. 14)
Asymmetric unit:
Na 0.0000 0.0000 0.0000 x2
La 0.2285 0.0638 0.7467 x4
Ge 0.5000 0.0000 0.5000 x2
O 0.1719 0.1701 0.4532 x4
O 0.2714 0.7259 0.4366 x4
O 0.3818 0.0456 0.2747 x4

=====

Entry 20:
A plane-wave DFT calculation with PBE was carried out for a relaxed structure of NaLa2GeO.

Results
Its density of states at the Fermi level is 1.853 states/eV/f.u. As for the crystal system: tetragonal. For the calculated density, the calculation gives 5.67 g cm⁻³.

Cell lengths 4.9735, 4.9735, 4.6079 Å; angles 90.00, 90.00, 90.00 degrees
Space group P4/mmm (No. 123)
Asymmetric unit:
Na 0.0000 0.0000 0.0000 x1
La 0.0000 0.5000 0.5000 x2
Ge 0.5000 0.5000 0.0000 x1
O 0.0000 0.0000 0.5000 x1

=====

Entry 21:
A plane-wave DFT calculation with PBE was carried out for a relaxed structure of NaLaGe2Pd5.

Results
Its density of states at the Fermi level is 5.375 states/eV/f.u. As for the crystal system: tetragonal. For the calculated density, the calculation gives 8.21 g cm⁻³.

Cell lengths 4.2642, 4.2642, 9.3400 Å; angles 90.00, 90.00, 90.00 degrees
Space group P4/mmm (No. 123)
Asymmetric unit:
Na 0.0000 0.0000 0.0000 x1
La 0.0000 0.0000 0.5000 x1
Ge 0.5000 0.5000 0.1349 x2
Pd 0.0000 0.5000 0.2703 x4
Pd 0.5000 0.5000 0.5000 x1

=====

Entry 22:
A plane-wave DFT calculation with PBE was carried out for a relaxed structure of NaLaGePd.

Results
Its density of states at the Fermi level is 0.187 states/eV/f.u. As for the crystal system: cubic. For the calculated density, the calculation gives 6.78 g cm⁻³.

Cell lengths 6.9398, 6.9398, 6.9398 Å; angles 90.00, 90.00, 90.00 degrees
Space group F-43m (No. 216)
Asymmetric unit:
Na 0.0000 0.0000 0.0000 x4
La 0.2500 0.2500 0.7500 x4
Ge 0.2500 0.2500 0.2500 x4
Pd 0.0000 0.0000 0.5000 x4

=====

Entry 23:
A plane-wave DFT calculation with PBE was carried out for a relaxed structure of NaLaPmGe.

Results
Its density of states at the Fermi level is 2.781 states/eV/f.u. As for the crystal system: cubic. For the calculated density, the calculation gives 5.82 g cm⁻³.

Cell lengths 7.5664, 7.5664, 7.5664 Å; angles 90.00, 90.00, 90.00 degrees
Space group F-43m (No. 216)
Asymmetric unit:
Na 0.0000 0.0000 0.0000 x4
La 0.2500 0.2500 0.2500 x4
Pm 0.2500 0.2500 0.7500 x4
Ge 0.0000 0.0000 0.5000 x4

=====

| no. | electronic total energy (eV for the cell shown) | spin magnetization (μB per formula unit) |
| --- | --- | --- |
| 1 | -223.76 | 0.000 |
| 2 | -35.72 | 1.803 |
| 3 | -258.49 | 0.000 |
| 4 | -48.98 | 0.000 |
| 5 | -48.72 | 0.107 |
| 6 | -23.49 | 0.000 |
| 7 | -48.57 | 0.000 |
| 8 | -26.52 | 0.000 |
| 9 | -71.54 | 0.000 |
| 10 | -21.00 | 0.916 |
| 11 | -106.87 | 0.000 |
| 12 | -24.19 | 0.000 |
| 13 | -24.59 | 0.017 |
| 14 | -48.14 | 0.002 |
| 15 | -18.79 | 0.000 |
| 16 | -17.29 | 0.000 |
| 17 | -24.96 | 0.000 |
| 18 | -268.69 | 0.000 |
| 19 | -140.11 | 1.083 |
| 20 | -27.80 | 0.000 |
| 21 | -46.87 | 0.000 |
| 22 | -71.92 | 0.000 |
| 23 | -66.88 | 0.000 |